## Rb2BaPbBr6 (PBE-GGA)

Data for a relaxed Rb2BaPbBr6 crystal.

a b c (Å): 8.2070 8.6725 11.8204
angles (deg): 90.00 90.72 90.00
Sites, in units of the cell vectors:
Br (0.3140, 0.7052, 0.4351)
Pb (0.0000, 0.5000, 0.0000)
Rb (0.4716, 0.4242, 0.2515)
Br (0.8769, 0.5457, 0.2414)
Rb (0.5284, 0.5758, 0.7485)
Pb (0.5000, 0.0000, 0.5000)
Br (0.2010, 0.1926, 0.4372)
Ba (0.0000, 0.5000, 0.5000)
Br (0.8140, 0.7948, 0.9351)
Br (0.1860, 0.2052, 0.0649)
Ba (0.5000, 0.0000, 0.0000)
Br (0.7990, 0.8074, 0.5628)
Br (0.1231, 0.4543, 0.7586)
Rb (0.0284, 0.9242, 0.2485)
Br (0.6231, 0.0457, 0.2586)
Br (0.7010, 0.3074, 0.9372)
Br (0.2990, 0.6926, 0.0628)
Br (0.3769, 0.9543, 0.7414)
Br (0.6860, 0.2948, 0.5649)
Rb (0.9716, 0.0758, 0.7515)

Values from the calculation:
Crystal system: monoclinic
DFT total energy, eV per atom: -3.40
SG: P2_1/c